Record 1
{
  "formula": "CsTiH",
  "functional": "PBE",
  "state": "relaxed",
  "sg": "Amm2, No. 38",
  "dft_energy_ev_per_atom": -3.407,
  "lattice": [[13.272, 0.000, 0.000], [0.000, 1.768, 3.001], [0.000, -1.768, 3.001]],
  "species": ["Cs", "Cs", "Ti", "Ti", "H", "H"],
  "fractional_positions": [[0.152, 0.000, 0.000], [0.848, 0.000, 0.000], [0.415, 0.445, 0.445], [0.585, 0.445, 0.445], [0.000, 0.341, 0.341], [0.500, 0.119, 0.119]]
}

=====

Record 2
{
  "formula": "CsTiH2",
  "functional": "PBE",
  "state": "relaxed",
  "sg": "Fm-3m, No. 225",
  "dft_energy_ev_per_atom": -2.840,
  "lattice": [[0.000, 3.259, 3.259], [3.259, 0.000, 3.259], [3.259, 3.259, 0.000]],
  "species": ["Cs", "Ti", "H", "H"],
  "fractional_positions": [[0.000, 0.000, 0.000], [0.500, 0.500, 0.500], [0.250, 0.250, 0.250], [0.750, 0.750, 0.750]]
}

=====

Record 3
{
  "formula": "CsTi2VH",
  "functional": "PBE",
  "state": "relaxed",
  "sg": "P4/mmm, No. 123",
  "dft_energy_ev_per_atom": -4.614,
  "lattice": [[4.501, 0.000, 0.000], [0.000, 4.501, 0.000], [0.000, 0.000, 6.051]],
  "species": ["Cs", "Ti", "Ti", "V", "H"],
  "fractional_positions": [[0.000, 0.000, 0.000], [0.000, 0.500, 0.500], [0.500, 0.000, 0.500], [0.500, 0.500, 0.500], [0.500, 0.500, 0.000]]
}